A relaxed Mg5GaBi crystal. Source: the Alexandria database, functional GGA-PBE.

magnetic moment	0.00	μB/f.u.
electronic total energy	-0.14655	Ry/atom
DOS(E_F)	0.361	states/eV per atom
ΔH_f (0 K)	0.132	eV per atom

Cell lengths 12.143, 8.805, 9.575 Å; angles 90.00, 118.23, 90.00 degrees
Space group C2/c (No. 15)
Symmetry-distinct sites (fractional):
Mg 0.000 0.174 0.250 x4
Mg 0.056 0.342 0.563 x8
Mg 0.239 0.409 0.406 x8
Ga 0.000 0.481 0.250 x4
Bi 0.000 0.000 0.000 x4